Density functional theory data (PBE) for Na4TaTi3Se8 after structural relaxation.

Its total energy is -5.36 eV/atom. The formation energy (no corrections) is -1070 meV per atom.

It has space group R-3m (No. 166, hexagonal axes), with a = 7.4070 Å, b = 7.4070 Å, c = 21.4490 Å, α = 90.00°, β = 90.00° and γ = 120.00°. The asymmetric unit holds Na at (0.0000, 0.0000, 0.0000), Na at (0.0000, 0.5000, 0.0000), Ta at (0.0000, 0.0000, 0.5000), Ti at (0.0000, 0.5000, 0.5000), Se at (0.0000, 0.0000, 0.2377) and Se at (0.0011, 0.5005, 0.7615).